TbPrTmTh: relaxed, PBE.

Output
formation energy from the elements	0.0165	eV per atom
total moment	0.00	μB/f.u.
energy above the most stable polymorph in this dataset	0.0000	eV/atom
theoretical density	8.95	g cm⁻³

The structure in CIF format:
```
data_TbPrTmTh
_chemical_formula_sum 'Tb1 Pr1 Tm1 Th1'
_cell_length_a 11.773
_cell_length_b 11.773
_cell_length_c 11.773
_cell_angle_alpha 17.58
_cell_angle_beta 17.58
_cell_angle_gamma 17.58
_space_group_name_H-M_alt 'P 1'
_space_group_IT_number 1
loop_
_space_group_symop_operation_xyz
'x,y,z'
loop_
_atom_site_label
_atom_site_type_symbol
_atom_site_fract_x
_atom_site_fract_y
_atom_site_fract_z
_atom_site_occupancy
Tb1 Tb 0.000 0.000 0.000 1
Pr1 Pr 0.754 0.754 0.754 1
Tm1 Tm 0.173 0.173 0.173 1
Th1 Th 0.586 0.586 0.586 1
```